Record 1
The following is a GGA-PBE calculation of an optimized crystal structure of La2Pr2Sm3, from Alexandria.

Summary:
The volume comes out at 35.75 Å³ per atom. Its energy relative to the elements is 9.53 kJ/mol of atoms. The energy above the lowest structure with this stoichiometry is 79 meV per atom.

a b c (Å): 17.9878 3.5763 8.8791
angles (deg): 90.00 118.81 90.00
Space group C2/m (No. 12)
Symmetry-distinct sites (fractional):
La 0.1485 0.0000 0.3387
Pr 0.0660 0.5000 0.9085
Sm 0.0000 0.0000 0.5000
Sm 0.2131 0.0000 0.8041



Record 2
The following is a GGA-PBE calculation of an optimized crystal structure of La8Pr2Sm, from Alexandria.

Summary:
The volume comes out at 36.72 Å³ per atom. Its energy relative to the elements is 10.95 kJ/mol of atoms. The energy above the lowest structure with this stoichiometry is 103 meV per atom.

a b c (Å): 9.3407 17.0286 6.1583
angles (deg): 90.00 124.44 90.00
Space group C2/m (No. 12)
Symmetry-distinct sites (fractional):
La 0.0000 0.2042 0.0000
La 0.0787 0.5000 0.7984
La 0.2147 0.1177 0.6838
Pr 0.0000 0.3089 0.5000
Sm 0.0000 0.0000 0.0000



Record 3
The following is a GGA-PBE calculation of an optimized crystal structure of LaPrSm, from Alexandria.

Summary:
The volume comes out at 35.85 Å³ per atom. Its energy relative to the elements is 1.91 kJ/mol of atoms. The energy above the lowest structure with this stoichiometry is 6 meV per atom.

a b c (Å): 3.7036 3.7036 15.6822
angles (deg): 90.00 90.00 90.00
Space group I4mm (No. 107)
Symmetry-distinct sites (fractional):
La 0.0000 0.0000 0.0000
Pr 0.0000 0.0000 0.3301
Sm 0.0000 0.0000 0.6661



Record 4
The following is a GGA-PBE calculation of an optimized crystal structure of La4PrSm5, from Alexandria.

Summary:
The volume comes out at 36.20 Å³ per atom. Its energy relative to the elements is 14.70 kJ/mol of atoms. The energy above the lowest structure with this stoichiometry is 0 meV per atom.

a b c (Å): 11.9410 5.6713 10.6918
angles (deg): 90.00 90.26 90.00
Space group C2/m (No. 12)
Symmetry-distinct sites (fractional):
La 0.0513 0.0000 0.2525
La 0.1739 0.5000 0.7494
Pr 0.0000 0.5000 0.0000
Sm 0.0000 0.5000 0.5000
Sm 0.1964 0.0000 0.9343
Sm 0.1988 0.0000 0.5671



no.,N(E_F) (states/eV/atom)
1,1.514
2,1.464
3,1.840
4,1.664